(a)
{"formula": "SbRu2Cl", "functional": "GGA-PBE", "state": "optimized geometry", "sg": "Imm2", "lattice_angstrom": [[-1.4754, 2.0513, 5.8208], [1.4754, -2.0513, 5.8208], [1.4754, 2.0513, -5.8208]], "species": ["Sb", "Ru", "Ru", "Cl"], "fractional_positions": [[0.0000, 0.0000, 0.0000], [0.5944, 0.5944, 0.0000], [0.7927, 0.2927, 0.5000], [0.2725, 0.7725, 0.5000]]}

***

(b)
{"formula": "SbRu2Cl", "functional": "GGA-PBE", "state": "optimized geometry", "sg": "R-3m", "lattice_angstrom": [[1.5774, 0.9107, 7.8631], [-1.5774, 0.9107, 7.8631], [0.0000, -1.8214, 7.8631]], "species": ["Sb", "Ru", "Ru", "Cl"], "fractional_positions": [[0.0000, 0.0000, 0.0000], [0.2510, 0.2510, 0.2510], [0.7490, 0.7490, 0.7490], [0.5000, 0.5000, 0.5000]]}

***

Stability, lowest: (a)

***

(a)
{"formula": "SbRu2Cl", "functional": "GGA-PBE", "state": "optimized geometry", "sg": "Pmmm", "lattice_angstrom": [[2.9778, 0.0000, 0.0000], [0.0000, 4.2871, 0.0000], [0.0000, 0.0000, 5.3782]], "species": ["Sb", "Ru", "Ru", "Cl"], "fractional_positions": [[0.0000, 0.0000, 0.0000], [0.0000, 0.5000, 0.5000], [0.5000, 0.5000, 0.0000], [0.5000, 0.0000, 0.5000]]}

***

(b)
{"formula": "SbRu2Cl", "functional": "GGA-PBE", "state": "optimized geometry", "sg": "Cm", "lattice_angstrom": [[5.3460, -1.5362, 0.0000], [5.3460, 1.5362, 0.0000], [-0.4462, 0.0000, 4.2863]], "species": ["Sb", "Ru", "Ru", "Cl"], "fractional_positions": [[0.0000, 0.0000, 0.0000], [0.4354, 0.4354, 0.4704], [0.6937, 0.6937, 0.2389], [0.2393, 0.2393, 0.6623]]}

***

Stability, lowest: (a)

***

(a)
{"formula": "SbRuCl", "functional": "GGA-PBE", "state": "optimized geometry", "sg": "I4mm", "lattice_angstrom": [[-1.5605, 1.5605, 6.7387], [1.5605, -1.5605, 6.7387], [1.5605, 1.5605, -6.7387]], "species": ["Sb", "Ru", "Cl"], "fractional_positions": [[0.0000, 0.0000, 0.0000], [0.3758, 0.3758, 0.0000], [0.7549, 0.7549, 0.0000]]}

***

(b)
{"formula": "SbRuCl", "functional": "GGA-PBE", "state": "optimized geometry", "sg": "P3m1", "lattice_angstrom": [[3.4044, 0.0000, 0.0000], [-1.7022, 2.9483, 0.0000], [0.0000, 0.0000, 7.4078]], "species": ["Sb", "Ru", "Cl"], "fractional_positions": [[0.0000, 0.0000, 0.0000], [0.3333, 0.6667, 0.7459], [0.6667, 0.3333, 0.5308]]}

***

(c)
{"formula": "SbRuCl", "functional": "GGA-PBE", "state": "optimized geometry", "sg": "P3m1", "lattice_angstrom": [[4.4736, 0.0000, 0.0000], [-2.2368, 3.8743, 0.0000], [0.0000, 0.0000, 3.2699]], "species": ["Sb", "Ru", "Cl"], "fractional_positions": [[0.0000, 0.0000, 0.0000], [0.3333, 0.6667, 0.7038], [0.6667, 0.3333, 0.5601]]}

***

Stability, lowest: (c)

***

(a)
{"formula": "ScRuCl3", "functional": "GGA-PBE", "state": "optimized geometry", "sg": "Pm-3m", "lattice_angstrom": [[4.7555, 0.0000, 0.0000], [0.0000, 4.7555, 0.0000], [0.0000, 0.0000, 4.7555]], "species": ["Sc", "Ru", "Cl", "Cl", "Cl"], "fractional_positions": [[0.0000, 0.0000, 0.0000], [0.5000, 0.5000, 0.5000], [0.0000, 0.5000, 0.5000], [0.5000, 0.0000, 0.5000], [0.5000, 0.5000, 0.0000]]}

***

(b)
{"formula": "ScRuCl3", "functional": "GGA-PBE", "state": "optimized geometry", "sg": "Pm-3m", "lattice_angstrom": [[4.9912, 0.0000, 0.0000], [0.0000, 4.9912, 0.0000], [0.0000, 0.0000, 4.9912]], "species": ["Sc", "Ru", "Cl", "Cl", "Cl"], "fractional_positions": [[0.0000, 0.0000, 0.0000], [0.5000, 0.5000, 0.5000], [0.0000, 0.0000, 0.5000], [0.0000, 0.5000, 0.0000], [0.5000, 0.0000, 0.0000]]}

***

Stability, lowest: (a)

***

(a)
{"formula": "RuSeCl2", "functional": "GGA-PBE", "state": "optimized geometry", "sg": "Cm", "lattice_angstrom": [[3.2110, -1.8534, 0.0000], [3.2110, 1.8534, 0.0000], [-0.0804, 0.0000, 8.1353]], "species": ["Ru", "Se", "Cl", "Cl"], "fractional_positions": [[0.0000, 0.0000, 0.0000], [0.3349, 0.3349, 0.1273], [0.3381, 0.3381, 0.4032], [0.6645, 0.6645, 0.8227]]}

***

(b)
{"formula": "RuSeCl2", "functional": "GGA-PBE", "state": "optimized geometry", "sg": "R-3m", "lattice_angstrom": [[1.6942, 0.9781, 10.4318], [-1.6942, 0.9781, 10.4318], [0.0000, -1.9563, 10.4318]], "species": ["Ru", "Se", "Cl", "Cl"], "fractional_positions": [[0.0000, 0.0000, 0.0000], [0.5000, 0.5000, 0.5000], [0.3769, 0.3769, 0.3769], [0.6231, 0.6231, 0.6231]]}

***

(c)
{"formula": "RuSeCl2", "functional": "GGA-PBE", "state": "optimized geometry", "sg": "P4mm", "lattice_angstrom": [[3.4031, 0.0000, 0.0000], [0.0000, 3.4031, 0.0000], [0.0000, 0.0000, 7.5374]], "species": ["Ru", "Se", "Cl", "Cl"], "fractional_positions": [[0.0000, 0.0000, 0.0000], [0.5000, 0.5000, 0.1223], [0.0000, 0.0000, 0.3309], [0.5000, 0.5000, 0.7621]]}

***

Stability, lowest: (b)

***

(a)
{"formula": "RuSeCl2", "functional": "GGA-PBE", "state": "optimized geometry", "sg": "C2/m", "lattice_angstrom": [[7.2809, -1.5322, 0.0000], [7.2809, 1.5322, 0.0000], [-1.3794, 0.0000, 4.3451]], "species": ["Ru", "Se", "Cl", "Cl"], "fractional_positions": [[0.0000, 0.0000, 0.0000], [0.5000, 0.5000, 0.5000], [0.3629, 0.3629, 0.8676], [0.6371, 0.6371, 0.1324]]}

***

(b)
{"formula": "RuSeCl2", "functional": "GGA-PBE", "state": "optimized geometry", "sg": "Cmm2", "lattice_angstrom": [[1.6410, -3.5618, 0.0000], [1.6410, 3.5618, 0.0000], [0.0000, 0.0000, 8.9364]], "species": ["Ru", "Se", "Cl", "Cl"], "fractional_positions": [[0.0000, 0.0000, 0.0000], [0.5000, 0.5000, 0.8185], [0.0000, 0.0000, 0.5734], [0.5000, 0.5000, 0.2014]]}

***

Stability, lowest: (b)

***

(a)
{"formula": "RuSeCl2", "functional": "GGA-PBE", "state": "optimized geometry", "sg": "Cmmm", "lattice_angstrom": [[3.0601, -4.0964, 0.0000], [3.0601, 4.0964, 0.0000], [0.0000, 0.0000, 3.0515]], "species": ["Ru", "Se", "Cl", "Cl"], "fractional_positions": [[0.0000, 0.0000, 0.0000], [0.5000, 0.5000, 0.0000], [0.0000, 0.5000, 0.5000], [0.5000, 0.0000, 0.5000]]}

***

(b)
{"formula": "RuSeCl2", "functional": "GGA-PBE", "state": "optimized geometry", "sg": "P4/mmm", "lattice_angstrom": [[3.0088, 0.0000, 0.0000], [0.0000, 3.0088, 0.0000], [0.0000, 0.0000, 11.0730]], "species": ["Ru", "Se", "Cl", "Cl"], "fractional_positions": [[0.0000, 0.0000, 0.0000], [0.0000, 0.0000, 0.5000], [0.5000, 0.5000, 0.1457], [0.5000, 0.5000, 0.8543]]}

***

(c)
{"formula": "RuSeCl2", "functional": "GGA-PBE", "state": "optimized geometry", "sg": "C2/m", "lattice_angstrom": [[2.9059, -4.2355, 0.0000], [2.9059, 4.2355, 0.0000], [-2.8943, 0.0000, 3.0723]], "species": ["Ru", "Se", "Cl", "Cl"], "fractional_positions": [[0.0000, 0.0000, 0.0000], [0.5000, 0.5000, 0.0000], [0.0000, 0.5000, 0.5000], [0.5000, 0.0000, 0.5000]]}

***

Stability, lowest: (a)

***

(a)
{"formula": "RuSeCl2", "functional": "GGA-PBE", "state": "optimized geometry", "sg": "P4/mmm", "lattice_angstrom": [[5.0000, 0.0000, 0.0000], [0.0000, 5.0000, 0.0000], [0.0000, 0.0000, 3.0822]], "species": ["Ru", "Se", "Cl", "Cl"], "fractional_positions": [[0.0000, 0.0000, 0.0000], [0.5000, 0.5000, 0.0000], [0.0000, 0.5000, 0.5000], [0.5000, 0.0000, 0.5000]]}

***

(b)
{"formula": "RuSeCl2", "functional": "GGA-PBE", "state": "optimized geometry", "sg": "Pmmm", "lattice_angstrom": [[3.0211, 0.0000, 0.0000], [0.0000, 4.3508, 0.0000], [0.0000, 0.0000, 5.6552]], "species": ["Ru", "Se", "Cl", "Cl"], "fractional_positions": [[0.0000, 0.0000, 0.0000], [0.5000, 0.0000, 0.5000], [0.0000, 0.5000, 0.5000], [0.5000, 0.5000, 0.0000]]}

***

(c)
{"formula": "RuSeCl2", "functional": "GGA-PBE", "state": "optimized geometry", "sg": "I-42d", "lattice_angstrom": [[-4.4999, 4.4999, 2.3654], [4.4999, -4.4999, 2.3654], [4.4999, 4.4999, -2.3654]], "species": ["Ru", "Ru", "Se", "Se", "Cl", "Cl", "Cl", "Cl"], "fractional_positions": [[0.0000, 0.0000, 0.0000], [0.7500, 0.2500, 0.5000], [0.2500, 0.7500, 0.5000], [0.5000, 0.5000, 0.0000], [0.3750, 0.0268, 0.1518], [0.7768, 0.6250, 0.6518], [0.8750, 0.2232, 0.8482], [0.9732, 0.1250, 0.3482]]}

***

Stability, lowest: (a)